Record 1
First-principles (PBE-GGA) data for a relaxed structure of Pu2CuC, as listed in Alexandria via LeMat-Bulk.

Lattice parameters (Å, degrees): 3.105 3.105 7.073 90.00 90.00 90.00
Space group P4/mmm (No. 123)
Inequivalent atoms, fractional coordinates:
Pu1 0.000 0.000 0.197 [2 per cell]
Cu1 0.500 0.500 0.500 [1 per cell]
C1 0.500 0.500 0.000 [1 per cell]

Results
polymorph energy (0 for the lowest one) = 0.16 kcal/mol of atoms
electronic total energy = -10.344 eV/atom
crystal system = tetragonal
ΔH_f (0 K) = 0.61 eV per formula unit

---

Record 2
First-principles (PBE-GGA) data for a relaxed structure of Pu3CuC, as listed in Alexandria via LeMat-Bulk.

Lattice parameters (Å, degrees): 4.790 4.790 4.790 90.00 90.00 90.00
Space group Pm-3m (No. 221)
Inequivalent atoms, fractional coordinates:
Pu1 0.000 0.000 0.500 [3 per cell]
Cu1 0.500 0.500 0.500 [1 per cell]
C1 0.000 0.000 0.000 [1 per cell]

Results
electronic total energy = -11.045 eV/atom
crystal system = cubic
ΔH_f (0 K) = 1.09 eV per formula unit

---

Record 3
First-principles (PBE-GGA) data for a relaxed structure of RbCu3C, as listed in Alexandria via LeMat-Bulk.

Lattice parameters (Å, degrees): 5.553 5.553 5.553 90.00 90.00 90.00
Space group Pm-3m (No. 221)
Inequivalent atoms, fractional coordinates:
Rb1 0.000 0.000 0.000 [1 per cell]
Cu1 0.000 0.000 0.500 [3 per cell]
C1 0.500 0.500 0.500 [1 per cell]

Results
polymorph energy (0 for the lowest one) = 53.62 kcal/mol of atoms
electronic total energy = -1.455 eV/atom
crystal system = cubic
ΔH_f (0 K) = 15.20 eV per formula unit

---

Record 4
First-principles (PBE-GGA) data for a relaxed structure of RbCu3C, as listed in Alexandria via LeMat-Bulk.

Lattice parameters (Å, degrees): 4.227 4.227 4.227 90.00 90.00 90.00
Space group Pm-3m (No. 221)
Inequivalent atoms, fractional coordinates:
Rb1 0.000 0.000 0.000 [1 per cell]
Cu1 0.000 0.500 0.500 [3 per cell]
C1 0.500 0.500 0.500 [1 per cell]

Results
polymorph energy (0 for the lowest one) = 0.00 kcal/mol of atoms
electronic total energy = -3.781 eV/atom
crystal system = cubic
ΔH_f (0 K) = 3.58 eV per formula unit

---

Record 5
First-principles (PBE-GGA) data for a relaxed structure of Rb2CuC, as listed in Alexandria via LeMat-Bulk.

Lattice parameters (Å, degrees): 5.742 5.742 18.834 90.00 90.00 90.00
Space group I-42d (No. 122)
Inequivalent atoms, fractional coordinates:
Rb1 0.197 0.250 0.125 [8 per cell]
Cu1 0.000 0.000 0.500 [4 per cell]
C1 0.000 0.000 0.000 [4 per cell]

Results
electronic total energy = -1.930 eV/atom
crystal system = tetragonal
ΔH_f (0 K) = 7.53 eV per formula unit

---

Record 6
First-principles (PBE-GGA) data for a relaxed structure of RbCuC3, as listed in Alexandria via LeMat-Bulk.

Lattice parameters (Å, degrees): 4.500 4.500 4.500 90.00 90.00 90.00
Space group Pm-3m (No. 221)
Inequivalent atoms, fractional coordinates:
Rb1 0.000 0.000 0.000 [1 per cell]
Cu1 0.500 0.500 0.500 [1 per cell]
C1 0.000 0.000 0.500 [3 per cell]

Results
polymorph energy (0 for the lowest one) = 40.22 kcal/mol of atoms
electronic total energy = -2.003 eV/atom
crystal system = cubic
ΔH_f (0 K) = 22.72 eV per formula unit

---

Record 7
First-principles (PBE-GGA) data for a relaxed structure of RbCuC3, as listed in Alexandria via LeMat-Bulk.

Lattice parameters (Å, degrees): 4.147 4.147 4.147 90.00 90.00 90.00
Space group Pm-3m (No. 221)
Inequivalent atoms, fractional coordinates:
Rb1 0.000 0.000 0.000 [1 per cell]
Cu1 0.500 0.500 0.500 [1 per cell]
C1 0.000 0.500 0.500 [3 per cell]

Results
polymorph energy (0 for the lowest one) = 0.00 kcal/mol of atoms
electronic total energy = -3.747 eV/atom
crystal system = cubic
ΔH_f (0 K) = 14.00 eV per formula unit

---

Record 8
First-principles (PBE-GGA) data for a relaxed structure of RbCuSb2C, as listed in Alexandria via LeMat-Bulk.

Lattice parameters (Å, degrees): 5.965 5.965 3.575 90.00 90.00 90.00
Space group P4/mmm (No. 123)
Inequivalent atoms, fractional coordinates:
Rb1 0.000 0.000 0.000 [1 per cell]
Cu1 0.500 0.500 0.500 [1 per cell]
Sb1 0.000 0.500 0.500 [2 per cell]
C1 0.500 0.500 0.000 [1 per cell]

Results
electronic total energy = -3.618 eV/atom
crystal system = tetragonal
energy relative to the elements, uncorrected = 0.889 eV/atom